CaRe after structural relaxation, computed with PBE-GGA.

Computed properties:
offset from the most stable computed form: 0.000 eV/atom

a b c (Å): 3.2130 3.2130 9.2261
angles (deg): 90.00 90.00 90.00
Last column: nearest neighbours and their distance in Å.
Space group P4/nmm (No. 129, origin choice 2)
Inequivalent atoms, fractional coordinates:
Ca: 0.2500 0.2500 0.1925 [2 per cell]  5 Re 3.18-3.45, 4 Ca 3.21
Re: 0.2500 0.2500 0.5660 [2 per cell]  4 Re 2.58


SrAlCo2 after structural relaxation, computed with PBE-GGA.

a b c (Å): 3.1710 3.3187 6.7593
angles (deg): 90.00 90.00 90.00
Last column: nearest neighbours and their distance in Å.
Space group Pmmm (No. 47)
Inequivalent atoms, fractional coordinates:
Sr: 0.0000 0.0000 0.0000 [1 per cell]  4 Sr 3.17-3.32, 8 Co 3.21, 2 Al 3.38
Al: 0.0000 0.0000 0.5000 [1 per cell]  8 Co 2.56
Co: 0.5000 0.5000 0.3326 [2 per cell]  1 Co 2.26


Short version: formation energy from the elements = 0.30, 0.18 eV/atom, in the order given.
Short version: DOS at the Fermi energy = 1.0221, 1.1278 states/eV per atom, in the order given.